Compound: CePm2Sn4
Source: the Alexandria database
Functional: PBE
Structure: relaxed

Unit cell a=8.122 b=8.122 c=8.122 alpha=110.18 beta=108.07 gamma=110.18
Site moments in Bohr magnetons follow the coordinates.
Sites, in units of the cell vectors:
Pm: 0.875 0.122 0.497  0.01
Pm: 0.503 0.378 0.625  0.01
Pm: 0.375 0.878 0.753  0.01
Pm: 0.247 0.622 0.125  0.01
Ce: 0.750 0.500 0.250  0.60
Ce: 0.000 0.000 0.000  0.60
Sn: 0.788 0.246 0.870  0.01
Sn: 0.620 0.746 0.038  0.01
Sn: 0.625 0.754 0.542  0.01
Sn: 0.130 0.918 0.375  0.01
Sn: 0.962 0.582 0.708  0.01
Sn: 0.458 0.082 0.212  0.01
Sn: 0.125 0.418 0.380  0.01
Sn: 0.292 0.254 0.875  0.01

Calculated values
energy relative to the elements = -0.537 eV/atom
E_tot = -70.4 eV/cell
calculated density = 7.3 g/cm³
total magnetic moment = 0.116 μB per atom


Compound: TbDy3Pd2
Source: the Alexandria database
Functional: PBE
Structure: relaxed

Unit cell a=3.782 b=8.513 c=9.727 alpha=90.00 beta=90.00 gamma=90.00
Sites, in units of the cell vectors:
Dy: 0.500 0.168 0.786
Dy: 0.000 0.332 0.285
Dy: 0.000 0.832 0.715
Dy: 0.000 0.989 0.066
Dy: 0.000 0.489 0.934
Dy: 0.500 0.668 0.214
Pd: 0.000 0.737 0.425
Pd: 0.000 0.237 0.575
Pd: 0.500 0.263 0.074
Pd: 0.500 0.763 0.926
Tb: 0.500 0.511 0.567
Tb: 0.500 0.011 0.433

Calculated values
energy relative to the elements = -0.592 eV/atom
E_tot = -64.8 eV/cell
calculated density = 9.1 g/cm³
total magnetic moment = 0.002 μB per atom
distance to the lowest polymorph of the same formula = 0 meV/atom


Compound: Y2InNiPb
Source: the Alexandria database
Functional: PBE
Structure: relaxed

Unit cell a=5.219 b=5.219 c=4.885 alpha=90.00 beta=90.00 gamma=90.00
Sites, in units of the cell vectors:
Y: 0.000 0.500 0.000
Y: 0.500 0.000 0.000
In: 0.000 0.000 0.500
Ni: 0.000 0.000 0.000
Pb: 0.500 0.500 0.500

Calculated values
energy relative to the elements = -0.332 eV/atom
E_tot = -26.8 eV/cell
calculated density = 7.0 g/cm³
total magnetic moment = 0.000 μB per atom


Compound: InCo2Se
Source: the Alexandria database
Functional: PBE
Structure: relaxed

Unit cell a=3.552 b=3.552 c=6.132 alpha=89.28 beta=90.00 gamma=90.00
Site moments in Bohr magnetons follow the coordinates.
Sites, in units of the cell vectors:
In: 0.000 0.368 0.426  0.03
Se: 0.500 0.882 0.867  0.02
Co: 0.500 0.376 0.104  -0.55
Co: 0.000 0.875 0.104  -0.55

Calculated values
E_tot = -20.0 eV/cell
calculated density = 6.7 g/cm³
total magnetic moment = 0.255 μB per atom
distance to the lowest polymorph of the same formula = 23 meV/atom
uncorrected formation energy = 0.5 eV/f.u.


Compound: Dy3Sn2Rh6
Source: the Alexandria database
Functional: PBE
Structure: relaxed

Unit cell a=8.243 b=8.243 c=8.243 alpha=109.47 beta=109.47 gamma=109.47
Sites, in units of the cell vectors:
Sn: 0.000 0.000 0.500
Sn: 0.000 0.500 0.000
Sn: 0.500 0.000 0.000
Sn: 0.500 0.500 0.500
Rh: 0.698 0.349 0.349
Rh: 0.651 0.349 0.000
Rh: 0.349 0.349 0.698
Rh: 0.349 0.000 0.651
Rh: 0.651 0.651 0.302
Rh: 0.000 0.651 0.349
Rh: 0.349 0.651 0.000
Rh: 0.349 0.698 0.349
Rh: 0.302 0.651 0.651
Rh: 0.651 0.302 0.651
Rh: 0.651 0.000 0.349
Rh: 0.000 0.349 0.651
Dy: 0.000 0.706 0.706
Dy: 0.294 0.294 0.000
Dy: 0.294 0.000 0.294
Dy: 0.706 0.706 0.000
Dy: 0.000 0.294 0.294
Dy: 0.706 0.000 0.706

Calculated values
energy relative to the elements = -0.715 eV/atom
E_tot = -147.6 eV/cell
calculated density = 10.3 g/cm³
total magnetic moment = 0.000 μB per atom
distance to the lowest polymorph of the same formula = 0 meV/atom


Compound: Li2AsI
Source: the Alexandria database
Functional: PBE
Structure: relaxed

Unit cell a=7.596 b=7.596 c=6.202 alpha=52.24 beta=52.24 gamma=90.00
Sites, in units of the cell vectors:
I: 0.750 0.250 0.500
I: 0.000 0.000 0.000
As: 0.500 0.500 0.000
As: 0.250 0.750 0.500
Li: 0.875 0.846 0.750
Li: 0.375 0.404 0.750
Li: 0.154 0.625 0.250
Li: 0.596 0.125 0.250

Calculated values
E_tot = -23.3 eV/cell
calculated density = 4.0 g/cm³
total magnetic moment = 0.000 μB per atom
distance to the lowest polymorph of the same formula = 0 meV/atom
uncorrected formation energy = -1.6 eV/f.u.


calculated density of number 6 (Li2AsI)?
4.0 g/cm³


Which of these has the lowest calculated density?
Li2AsI


calculated density of number 3 (Y2InNiPb)?
7.0 g/cm³